Density functional theory data (GGA-PBE) for Cu3AuBr after structural relaxation.

POSCAR file:
```
Cu3AuBr
1.0
-0.1787 2.4193 -4.1942
-4.4441 -1.7481 -0.8190
-1.9221 3.8167 2.2835
Br Cu Au
1 3 1
Direct
0.5000 0.5000 0.5000 Br
0.0000 0.5000 0.0000 Cu
0.0000 0.0000 0.5000 Cu
0.5000 0.0000 0.0000 Cu
0.0000 0.0000 0.0000 Au
```

Values from the calculation:
The value obtained for the density of states at the Fermi level is 0.663 states/eV/atom. As for the total DFT energy (no corrections): -2.766 eV per atom. As for the energy above the most stable polymorph in this dataset: 0.0000 eV/atom. The calculation puts the formation energy without anion corrections at 0.68 eV/atom.